A plane-wave DFT calculation with GGA+U was carried out for BaLi2MnV2O8 after structural relaxation.

The raw total energy comes out at -98.687 eV per formula unit. The density of states at the Fermi level comes out at 0.000 states/eV per atom.

It has space group P-3 (No. 147), with a = 5.3531 Å, b = 5.3531 Å, c = 7.4025 Å, α = 90.00°, β = 90.00° and γ = 120.00°. Symmetry generates all atoms from Ba at (0.0000, 0.0000, 0.0000), Li at (0.3333, 0.6667, 0.2608), Mn at (0.0000, 0.0000, 0.5000), V at (0.3333, 0.6667, 0.7534), O at (0.0361, 0.3384, 0.6852) and O at (0.3333, 0.6667, 0.9864).